1.
# LiTl2HgAs (PBE-GGA, optimized geometry)
# Density of states at the Fermi level ... 2.3 states/eV/f.u.
# Energy of formation from the pure elements ... 0.006 eV per atom
# Relative energy among the computed polymorphs ... 0.0 meV per atom
# Total magnetic moment ... 0.000 μB/atom
# SG ... P4/mmm (123)
data_LiTl2HgAs
_space_group_name_H-M_alt 'P 1'
_space_group_IT_number 1
_space_group_name_Hall 'P 1'
_cell_length_a 5.5930
_cell_length_b 5.5930
_cell_length_c 4.8638
_cell_angle_alpha 90.00
_cell_angle_beta 90.00
_cell_angle_gamma 90.00
loop_
_atom_site_label
_atom_site_type_symbol
_atom_site_fract_x
_atom_site_fract_y
_atom_site_fract_z
Li1 Li 0.0000 0.0000 0.5000
Tl1 Tl 0.5000 0.0000 0.0000
Hg1 Hg 0.5000 0.5000 0.5000
Tl2 Tl 0.0000 0.5000 0.0000
As1 As 0.0000 0.0000 0.0000

***

2.
# HgTe2WI (PBE-GGA, optimized geometry)
# Density of states at the Fermi level ... 5.5 states/eV/f.u.
# Relative energy among the computed polymorphs ... 1174.7 meV per atom
# Uncorrected formation energy ... 1.6116 eV per atom
# Total magnetic moment ... 0.710 μB/atom
# SG ... P4/mmm (123)
data_HgTe2WI
_space_group_name_H-M_alt 'P 1'
_space_group_IT_number 1
_space_group_name_Hall 'P 1'
_cell_length_a 5.6316
_cell_length_b 5.6316
_cell_length_c 5.6391
_cell_angle_alpha 90.00
_cell_angle_beta 90.00
_cell_angle_gamma 90.00
loop_
_atom_site_label
_atom_site_type_symbol
_atom_site_fract_x
_atom_site_fract_y
_atom_site_fract_z
Te1 Te 0.0000 0.5000 0.0000
W1 W 0.5000 0.5000 0.5000
I1 I 0.0000 0.0000 0.5000
Te2 Te 0.5000 0.0000 0.0000
Hg1 Hg 0.0000 0.0000 0.0000

***

3.
# GaSiB3 (PBE-GGA, optimized geometry)
# Density of states at the Fermi level ... 2.1 states/eV/f.u.
# Relative energy among the computed polymorphs ... 557.1 meV per atom
# Uncorrected formation energy ... 2.0367 eV per atom
# Total magnetic moment ... 0.000 μB/atom
# SG ... Pm-3m (221)
data_GaSiB3
_space_group_name_H-M_alt 'P 1'
_space_group_IT_number 1
_space_group_name_Hall 'P 1'
_cell_length_a 4.1208
_cell_length_b 4.1208
_cell_length_c 4.1208
_cell_angle_alpha 90.00
_cell_angle_beta 90.00
_cell_angle_gamma 90.00
loop_
_atom_site_label
_atom_site_type_symbol
_atom_site_fract_x
_atom_site_fract_y
_atom_site_fract_z
B1 B 0.0000 0.0000 0.5000
Si1 Si 0.5000 0.5000 0.5000
Ga1 Ga 0.0000 0.0000 0.0000
B2 B 0.0000 0.5000 0.0000
B3 B 0.5000 0.0000 0.0000

***

4.
# Tl3TcSb (PBE-GGA, optimized geometry)
# Density of states at the Fermi level ... 3.1 states/eV/f.u.
# Relative energy among the computed polymorphs ... 0.0 meV per atom
# Uncorrected formation energy ... 0.6500 eV per atom
# Total magnetic moment ... 0.566 μB/atom
# SG ... Pm-3m (221)
data_Tl3TcSb
_space_group_name_H-M_alt 'P 1'
_space_group_IT_number 1
_space_group_name_Hall 'P 1'
_cell_length_a 5.3842
_cell_length_b 5.3842
_cell_length_c 5.3842
_cell_angle_alpha 90.00
_cell_angle_beta 90.00
_cell_angle_gamma 90.00
loop_
_atom_site_label
_atom_site_type_symbol
_atom_site_fract_x
_atom_site_fract_y
_atom_site_fract_z
Tl1 Tl 0.0000 0.5000 0.0000
Tl2 Tl 0.0000 0.0000 0.5000
Sb1 Sb 0.5000 0.5000 0.5000
Tc1 Tc 0.0000 0.0000 0.0000
Tl3 Tl 0.5000 0.0000 0.0000

***

5.
# Sr5CaHg4 (PBE-GGA, optimized geometry)
# Density of states at the Fermi level ... 8.5 states/eV/f.u.
# Energy of formation from the pure elements ... -0.429 eV per atom
# Total magnetic moment ... 0.000 μB/atom
# SG ... P4/mmm (123)
data_Sr5CaHg4
_space_group_name_H-M_alt 'P 1'
_space_group_IT_number 1
_space_group_name_Hall 'P 1'
_cell_length_a 4.0208
_cell_length_b 4.0208
_cell_length_c 21.7687
_cell_angle_alpha 90.00
_cell_angle_beta 90.00
_cell_angle_gamma 90.00
loop_
_atom_site_label
_atom_site_type_symbol
_atom_site_fract_x
_atom_site_fract_y
_atom_site_fract_z
Sr1 Sr 0.5000 0.5000 0.1361
Sr2 Sr 0.5000 0.5000 0.6830
Hg1 Hg 0.0000 0.0000 0.5916
Sr3 Sr 0.5000 0.5000 0.3170
Sr4 Sr 0.5000 0.5000 0.8639
Hg2 Hg 0.0000 0.0000 0.2214
Ca1 Ca 0.0000 0.0000 0.0000
Hg3 Hg 0.0000 0.0000 0.4084
Sr5 Sr 0.5000 0.5000 0.5000
Hg4 Hg 0.0000 0.0000 0.7786

***

6.
# Ca2AgH6Pd (PBE-GGA, optimized geometry)
# Density of states at the Fermi level ... 1.6 states/eV/f.u.
# Total magnetic moment ... 0.000 μB/atom
# Energy ... -34.347 eV per cell
# SG ... P-3m1 (164)
data_Ca2AgH6Pd
_space_group_name_H-M_alt 'P 1'
_space_group_IT_number 1
_space_group_name_Hall 'P 1'
_cell_length_a 5.1860
_cell_length_b 5.0805
_cell_length_c 5.0805
_cell_angle_alpha 120.00
_cell_angle_beta 90.00
_cell_angle_gamma 90.00
loop_
_atom_site_label
_atom_site_type_symbol
_atom_site_fract_x
_atom_site_fract_y
_atom_site_fract_z
H1 H 0.7813 0.1714 0.3428
H2 H 0.2187 0.8286 0.6572
Pd1 Pd 0.0000 0.0000 0.0000
Ca1 Ca 0.2220 0.3333 0.6667
H3 H 0.2187 0.8286 0.1714
Ca2 Ca 0.7780 0.6667 0.3333
H4 H 0.2187 0.3428 0.1714
H5 H 0.7813 0.6572 0.8286
H6 H 0.7813 0.1714 0.8286
Ag1 Ag 0.5000 0.0000 0.0000

***

Which value of density of states at the Fermi level does entry 4 give?
3.1 states/eV/f.u.

***

total magnetic moment of number 5 (Sr5CaHg4)?
0.000 μB/atom

***

Please write out number 6 again, unchanged.
# Ca2AgH6Pd (PBE-GGA, optimized geometry)
# Density of states at the Fermi level ... 1.6 states/eV/f.u.
# Total magnetic moment ... 0.000 μB/atom
# Energy ... -34.347 eV per cell
# SG ... P-3m1 (164)
data_Ca2AgH6Pd
_space_group_name_H-M_alt 'P 1'
_space_group_IT_number 1
_space_group_name_Hall 'P 1'
_cell_length_a 5.1860
_cell_length_b 5.0805
_cell_length_c 5.0805
_cell_angle_alpha 120.00
_cell_angle_beta 90.00
_cell_angle_gamma 90.00
loop_
_atom_site_label
_atom_site_type_symbol
_atom_site_fract_x
_atom_site_fract_y
_atom_site_fract_z
H1 H 0.7813 0.1714 0.3428
H2 H 0.2187 0.8286 0.6572
Pd1 Pd 0.0000 0.0000 0.0000
Ca1 Ca 0.2220 0.3333 0.6667
H3 H 0.2187 0.8286 0.1714
Ca2 Ca 0.7780 0.6667 0.3333
H4 H 0.2187 0.3428 0.1714
H5 H 0.7813 0.6572 0.8286
H6 H 0.7813 0.1714 0.8286
Ag1 Ag 0.5000 0.0000 0.0000

***

Number 6 is which compound?
Ca2AgH6Pd